No. 1
Here is an optimized crystal structure of Ba2SrAs from the Alexandria database. Energies are from PBE-GGA.

Structure (extended XYZ):
```
4
Lattice="4.493 0.000 0.000 0.000 5.175 -0.002 0.000 2.592 8.106" Properties=species:S:1:pos:R:3 pbc="T T T"
Sr 0.000 4.855 4.448
As 2.246 4.854 6.678
Ba 0.000 7.442 7.316
Ba 2.246 2.266 1.819
```

Computed properties:
Symmetry: Amm2, No. 38
Uncorrected energy: -12.5 eV/cell
ΔH_f (0 K): -0.579 eV per atom
Mass density: 3.851 g/cm³

***

No. 2
Here is an optimized crystal structure of La6Ga3H from the Alexandria database. Energies are from PBE-GGA.

Structure (extended XYZ):
```
20
Lattice="6.424 0.000 0.000 0.000 9.405 0.104 0.000 -1.997 9.191" Properties=species:S:1:pos:R:3 pbc="T T T"
La 1.012 5.866 6.387
La 4.225 4.917 7.143
La 1.495 2.673 8.170
La 4.707 7.368 4.429
La 6.356 -0.953 8.358
La 4.665 1.512 6.395
La 1.453 5.896 2.900
La 3.144 8.360 0.937
La 1.495 0.040 4.866
La 4.707 4.734 1.125
La 1.012 2.491 2.152
La 4.225 1.542 2.908
Ga 3.305 -1.434 7.114
Ga 0.093 7.254 0.189
Ga 2.466 3.409 4.883
Ga 5.678 3.999 4.412
Ga 0.093 8.842 2.181
Ga 3.305 0.153 9.106
H 0.491 0.906 6.877
H 3.703 6.502 2.418
```

Computed properties:
Symmetry: Cmc2_1, No. 36
Uncorrected energy: -92.0 eV/cell
Mass density: 6.227 g/cm³

***

No. 3
Here is an optimized crystal structure of Pa2AsC from the Alexandria database. Energies are from PBE-GGA.

Structure (extended XYZ):
```
4
Lattice="3.616 0.000 0.000 1.808 3.131 0.000 1.808 1.044 6.997" Properties=species:S:1:pos:R:3 pbc="T T T"
Pa 1.808 1.044 5.024
Pa 1.808 1.044 1.970
As 5.423 3.131 6.986
C 3.616 2.087 3.514
```

Computed properties:
ΔE to the lowest computed polymorph: 1.33 eV/f.u.
Symmetry: R3m, No. 160
Uncorrected energy: -34.5 eV/cell
ΔH_f (0 K): -0.404 eV per atom
Mass density: 11.508 g/cm³